Here is a relaxed InRuPb2 crystal from Alexandria. Energies are from PBEsol.

Values from the calculation:
**Formation enthalpy at 0 K**: 0.19 eV per atom
**V**: 91 Å³ per cell

abc: 3.260 3.260 8.558
angles: 90.00 90.00 90.00
Space group P4mm (No. 99)
Inequivalent atoms, fractional coordinates:
In1 0.000 0.000 0.000 (multiplicity 1)
Ru1 0.500 0.500 0.825 (multiplicity 1)
Pb1 0.000 0.000 0.623 (multiplicity 1)
Pb2 0.500 0.500 0.291 (multiplicity 1)